First-principles (PBE-GGA) data for a geometry-optimized KNa2GaAu structure, as listed in Alexandria.

Unit cell a=5.758 b=5.758 c=4.917 alpha=90.00 beta=90.00 gamma=90.00
Atoms (fractional coordinates):
K1 0.000 0.000 0.000
Na1 0.000 0.500 0.500
Na2 0.500 0.000 0.500
Ga1 0.500 0.500 0.000
Au1 0.500 0.500 0.500

Magnetic moment: 0.00 μB per cell
Volume: 163 Å³ per cell
SG: P4/mmm
Formation enthalpy at 0 K: -151 meV per atom